5
Lattice="5.5110 0.0000 0.0000 0.0000 5.5110 0.0000 0.0000 0.0000 5.5110" Properties=species:S:1:pos:R:3 comment="La3AgP, optimized geometry, DFT GGA-PBEsol" sg=Pm-3m total_magnetization_mub_per_cell=0.002 dos_ef_per_ev_cell=9.3 e_above_lowest_polymorph_kj_per_mol_fu=0 energy_ev_per_atom=-5.35 crystal_system=cubic formation_energy_ev_per_atom=-0.326 pbc="T T T"
La 0.0000 0.0000 2.7555
La 0.0000 2.7555 0.0000
La 2.7555 0.0000 0.0000
Ag 2.7555 2.7555 2.7555
P 0.0000 0.0000 0.0000

***

4
Lattice="-1.7035 6.0941 1.8573 1.7035 -6.0941 1.8573 1.7035 6.0941 -1.8573" Properties=species:S:1:pos:R:3 comment="VCl2O, optimized geometry, DFT GGA-PBEsol" sg=Imm2 total_magnetization_mub_per_cell=1.000 dos_ef_per_ev_cell=0.7 energy_ev_per_atom=-6.33 crystal_system=orthorhombic e_form_raw_ev_per_atom=-1.61 pbc="T T T"
V 0.0000 0.0000 0.0000
Cl 1.7035 1.6095 -0.2756
Cl 0.0000 4.4846 1.5817
O 0.0000 0.0000 1.6360

***

4
Lattice="-1.9858 1.9858 3.7047 1.9858 -1.9858 3.7047 1.9858 1.9858 -3.7047" Properties=species:S:1:pos:R:3 comment="CoPt2Se, optimized geometry, DFT GGA-PBEsol" sg=I-4m2 total_magnetization_mub_per_cell=2.017 dos_ef_per_ev_cell=4.2 energy_ev_per_atom=-6.11 crystal_system=tetragonal e_form_raw_ev_per_atom=0.26 pbc="T T T"
Co 0.0000 0.0000 0.0000
Pt 0.0000 0.0000 3.7047
Pt 0.0000 1.9858 1.8524
Se 1.9858 0.0000 1.8524

***

5
Lattice="-2.0129 2.0129 5.0739 2.0129 -2.0129 5.0739 2.0129 2.0129 -5.0739" Properties=species:S:1:pos:R:3 comment="GdCu2Ge2, optimized geometry, DFT GGA-PBEsol" sg=I4/mmm total_magnetization_mub_per_cell=6.976 dos_ef_per_ev_cell=1.4 energy_ev_per_atom=-7.17 crystal_system=tetragonal formation_energy_ev_per_atom=-0.567 pbc="T T T"
Gd 0.0000 0.0000 0.0000
Cu 2.0129 0.0000 2.5370
Cu 0.0000 2.0129 2.5370
Ge 0.0000 0.0000 3.8507
Ge 0.0000 0.0000 6.2972

***

4
Lattice="2.4104 1.3917 3.6394 -2.4104 1.3917 3.6394 0.0000 -2.7833 3.6394" Properties=species:S:1:pos:R:3 comment="FeSb, optimized geometry, DFT GGA-PBEsol" sg=R-3m total_magnetization_mub_per_cell=5.250 dos_ef_per_ev_cell=2.9 energy_ev_per_atom=-6.07 crystal_system=trigonal e_form_raw_ev_per_atom=0.69 pbc="T T T"
Fe 0.0000 0.0000 1.2191
Fe 0.0000 0.0000 9.6990
Sb 0.0000 0.0000 3.9616
Sb 0.0000 0.0000 6.9565

***

5
Lattice="4.9544 0.0000 0.0000 0.0000 4.9544 0.0000 0.0000 0.0000 4.9544" Properties=species:S:1:pos:R:3 comment="Zr3NiIr, optimized geometry, DFT GGA-PBEsol" sg=Pm-3m total_magnetization_mub_per_cell=0.002 dos_ef_per_ev_cell=8.4 energy_ev_per_atom=-8.06 crystal_system=cubic formation_energy_ev_per_atom=0.588 pbc="T T T"
Zr 0.0000 0.0000 2.4772
Zr 0.0000 2.4772 0.0000
Zr 2.4772 0.0000 0.0000
Ni 2.4772 2.4772 2.4772
Ir 0.0000 0.0000 0.0000